{
  "formula": "Cr3CoNi",
  "functional": "PBE",
  "state": "relaxed",
  "lattice": [[4.1577, 0.0000, 0.0000], [0.0000, 4.1577, 0.0000], [0.0000, 0.0000, 4.1577]],
  "species": ["Cr", "Cr", "Cr", "Co", "Ni"],
  "frac_coords": [[0.0000, 0.0000, 0.5000], [0.0000, 0.5000, 0.0000], [0.5000, 0.0000, 0.0000], [0.0000, 0.0000, 0.0000], [0.5000, 0.5000, 0.5000]],
  "de_polymorph_ev_per_atom": 0.000,
  "formation_enthalpy_0k_mev_per_atom": 1328.1
}



{
  "formula": "Ti12VGe6",
  "functional": "PBE",
  "state": "relaxed",
  "lattice": [[5.4693, 3.1577, 3.3534], [-5.4693, 3.1577, 3.3534], [0.0000, -6.3154, 3.3534]],
  "species": ["Ti", "Ti", "Ti", "Ti", "Ti", "Ti", "Ti", "Ti", "Ti", "Ti", "Ti", "Ti", "V", "Ge", "Ge", "Ge", "Ge", "Ge", "Ge"],
  "frac_coords": [[0.0029, 0.9467, 0.6705], [0.0533, 0.3295, 0.9971], [0.1988, 0.5432, 0.4131], [0.3295, 0.9971, 0.0533], [0.4131, 0.1988, 0.5432], [0.4568, 0.5869, 0.8012], [0.5432, 0.4131, 0.1988], [0.5869, 0.8012, 0.4568], [0.6705, 0.0029, 0.9467], [0.8012, 0.4568, 0.5869], [0.9467, 0.6705, 0.0029], [0.9971, 0.0533, 0.3295], [0.0000, 0.0000, 0.0000], [0.1217, 0.3235, 0.6534], [0.3235, 0.6534, 0.1217], [0.3466, 0.8783, 0.6765], [0.6534, 0.1217, 0.3235], [0.6765, 0.3466, 0.8783], [0.8783, 0.6765, 0.3466]],
  "formation_enthalpy_0k_mev_per_atom": -67.6
}



{
  "formula": "Ba2SnS4",
  "functional": "PBE",
  "state": "relaxed",
  "lattice": [[7.2560, 0.0000, 0.0000], [0.0000, 7.0684, 0.0000], [-2.7870, 0.0000, 8.4136]],
  "species": ["Ba", "Ba", "Ba", "Ba", "Sn", "Sn", "S", "S", "S", "S", "S", "S", "S", "S"],
  "frac_coords": [[0.2193, 0.2500, 0.0534], [0.2658, 0.2500, 0.5661], [0.7342, 0.7500, 0.4339], [0.7807, 0.7500, 0.9466], [0.2317, 0.7500, 0.8005], [0.7683, 0.2500, 0.1995], [0.0046, 0.0090, 0.7387], [0.0046, 0.4910, 0.7387], [0.4110, 0.7500, 0.0794], [0.4264, 0.7500, 0.6256], [0.5736, 0.2500, 0.3744], [0.5890, 0.2500, 0.9206], [0.9954, 0.5090, 0.2613], [0.9954, 0.9910, 0.2613]],
  "e_form_raw_mev_per_atom": -1416
}



{
  "formula": "Ho6Te3Pt2S",
  "functional": "PBE",
  "state": "relaxed",
  "lattice": [[3.5740, -6.2005, 0.0000], [3.5740, 6.2005, 0.0000], [-2.3684, 0.0000, 7.1916]],
  "species": ["Ho", "Ho", "Ho", "Ho", "Ho", "Ho", "Te", "Te", "Te", "Pt", "Pt", "S"],
  "frac_coords": [[0.0871, 0.4285, 0.7875], [0.2296, 0.2296, 0.2126], [0.4285, 0.0871, 0.7875], [0.5715, 0.9129, 0.2125], [0.7704, 0.7704, 0.7874], [0.9129, 0.5715, 0.2125], [0.0000, 0.0000, 0.5000], [0.3372, 0.6628, 0.5000], [0.6628, 0.3372, 0.5000], [0.1674, 0.8326, 0.0000], [0.8326, 0.1674, 0.0000], [0.5000, 0.5000, 0.0000]],
  "e_form_raw_mev_per_atom": -1399
}



Result set for E: -7.023 -6.992 -4.896 -5.824 eV/atom, one per record in the order listed.